DFT (GGA+U) results for TlMoOs2O after structural relaxation. Values from VASP.

Geometry as Quantum ESPRESSO input:
```
&SYSTEM
  ibrav = 0, nat = 5, ntyp = 4
/
ATOMIC_SPECIES
O 16.00 O.upf
Mo 95.94 Mo.upf
Os 190.23 Os.upf
Tl 204.38 Tl.upf
ATOMIC_POSITIONS crystal
O 0.000 0.500 0.000
Mo 0.000 0.000 0.000
Os 0.000 0.000 0.500
Tl 0.500 0.500 0.500
Os 0.500 0.000 0.000
CELL_PARAMETERS angstrom
4.953 0.000 0.000
0.000 3.771 0.000
0.000 0.000 4.953
```

Properties
Magnetization in μB per cell: 0.56
Energy in eV per atom: -6.130